Here is TiNbRhW after structural relaxation from the Alexandria database. Energies are from PBE.

Structure (CIF):
```
data_TiNbRhW
_space_group_name_H-M_alt 'F -4 3 m'
_space_group_IT_number 216
_space_group_name_Hall 'F -4 2 3'
_cell_length_a 6.359
_cell_length_b 6.359
_cell_length_c 6.359
_cell_angle_alpha 90.00
_cell_angle_beta 90.00
_cell_angle_gamma 90.00
loop_
_atom_site_label
_atom_site_fract_x
_atom_site_fract_y
_atom_site_fract_z
Ti1 0.000 0.000 0.000
Nb1 0.000 0.000 0.500
Rh1 0.250 0.250 0.250
W1 0.250 0.250 0.750
```

Summary:
Mass density in g cm⁻³: 11.04
Formation energy from the elements in meV per atom: -311



Here is Ho2Er3Tm6Hf after structural relaxation from the Alexandria database. Energies are from PBE.

Structure (CIF):
```
data_Ho2Er3Tm6Hf
_space_group_name_H-M_alt 'C 1 2/m 1'
_space_group_IT_number 12
_cell_length_a 6.004
_cell_length_b 10.382
_cell_length_c 11.471
_cell_angle_alpha 90.00
_cell_angle_beta 100.00
_cell_angle_gamma 90.00
loop_
_space_group_symop_operation_xyz
'x,y,z'
'-x,-y,-z'
'-x,y,-z'
'x,-y,z'
'x+1/2,y+1/2,z'
'-x+1/2,-y+1/2,-z'
'-x+1/2,y+1/2,-z'
'x+1/2,-y+1/2,z'
loop_
_atom_site_label
_atom_site_fract_x
_atom_site_fract_y
_atom_site_fract_z
Ho1 0.000 0.167 0.000
Er1 0.000 0.000 0.500
Er2 0.000 0.333 0.500
Tm1 0.244 0.337 0.245
Tm2 0.245 0.500 0.756
Hf1 0.000 0.500 0.000
```

Summary:
Mass density in g cm⁻³: 9.54
Formation energy from the elements in meV per atom: 60



Here is Lu2PuIn after structural relaxation from the Alexandria database. Energies are from PBE.

Structure (CIF):
```
data_Lu2PuIn
_space_group_name_H-M_alt 'P 4/m m m'
_space_group_IT_number 123
_space_group_name_Hall '-P 4 2'
_cell_length_a 3.432
_cell_length_b 3.432
_cell_length_c 9.099
_cell_angle_alpha 90.00
_cell_angle_beta 90.00
_cell_angle_gamma 90.00
loop_
_atom_site_label
_atom_site_fract_x
_atom_site_fract_y
_atom_site_fract_z
Lu1 0.000 0.000 0.235
Pu1 0.500 0.500 0.500
In1 0.500 0.500 0.000
```

Summary:
Mass density in g cm⁻³: 10.98
Formation energy from the elements in meV per atom: -148



Here is Rb2VHg after structural relaxation from the Alexandria database. Energies are from PBE.

Structure (CIF):
```
data_Rb2VHg
_space_group_name_H-M_alt 'P 1'
_space_group_IT_number 1
_cell_length_a 3.793
_cell_length_b 6.444
_cell_length_c 7.580
_cell_angle_alpha 65.00
_cell_angle_beta 75.58
_cell_angle_gamma 89.99
loop_
_space_group_symop_operation_xyz
'x,y,z'
loop_
_atom_site_label
_atom_site_fract_x
_atom_site_fract_y
_atom_site_fract_z
Rb1 0.000 0.000 0.000
Rb2 0.196 0.695 0.608
V1 0.412 0.413 0.174
Hg1 0.755 0.253 0.490
```

Summary:
Mass density in g cm⁻³: 4.34
Formation energy from the elements in meV per atom: 610



Here is In2GeBi2 after structural relaxation from the Alexandria database. Energies are from PBE.

Structure (CIF):
```
data_In2GeBi2
_space_group_name_H-M_alt 'P 4/m b m'
_space_group_IT_number 127
_space_group_name_Hall '-P 4 2ab'
_cell_length_a 8.323
_cell_length_b 8.323
_cell_length_c 4.287
_cell_angle_alpha 90.00
_cell_angle_beta 90.00
_cell_angle_gamma 90.00
loop_
_atom_site_label
_atom_site_fract_x
_atom_site_fract_y
_atom_site_fract_z
In1 0.149 0.351 0.000
Ge1 0.000 0.000 0.500
Bi1 0.157 0.657 0.500
```

Summary:
Mass density in g cm⁻³: 8.05
Formation energy from the elements in meV per atom: 224



Here is MnSbAu2 after structural relaxation from the Alexandria database. Energies are from PBE.

Structure (CIF):
```
data_MnSbAu2
_space_group_name_H-M_alt 'P 4 m m'
_space_group_IT_number 99
_cell_length_a 3.288
_cell_length_b 3.288
_cell_length_c 7.179
_cell_angle_alpha 90.00
_cell_angle_beta 90.00
_cell_angle_gamma 90.00
loop_
_space_group_symop_operation_xyz
'x,y,z'
'-y,x,z'
'-x,-y,z'
'y,-x,z'
'-x,y,z'
'y,x,z'
'x,-y,z'
'-y,-x,z'
loop_
_atom_site_label
_atom_site_fract_x
_atom_site_fract_y
_atom_site_fract_z
Mn1 0.000 0.000 0.000
Sb1 0.500 0.500 0.260
Au1 0.000 0.000 0.559
Au2 0.500 0.500 0.801
```

Summary:
Mass density in g cm⁻³: 12.21
Formation energy without anion corrections in meV/atom: 92



Here is BeCo2Pb after structural relaxation from the Alexandria database. Energies are from PBE.

Structure (CIF):
```
data_BeCo2Pb
_space_group_name_H-M_alt 'F m -3 m'
_space_group_IT_number 225
_space_group_name_Hall '-F 4 2 3'
_cell_length_a 5.939
_cell_length_b 5.939
_cell_length_c 5.939
_cell_angle_alpha 90.00
_cell_angle_beta 90.00
_cell_angle_gamma 90.00
loop_
_atom_site_label
_atom_site_fract_x
_atom_site_fract_y
_atom_site_fract_z
Be1 0.000 0.000 0.000
Co1 0.250 0.250 0.250
Pb1 0.000 0.000 0.500
```

Summary:
Mass density in g cm⁻³: 10.59
Formation energy from the elements in meV per atom: 369



Here is IrRhAu4 after structural relaxation from the Alexandria database. Energies are from PBE.

Structure (CIF):
```
data_IrRhAu4
_space_group_name_H-M_alt 'F -4 3 m'
_space_group_IT_number 216
_space_group_name_Hall 'F -4 2 3'
_cell_length_a 7.575
_cell_length_b 7.575
_cell_length_c 7.575
_cell_angle_alpha 90.00
_cell_angle_beta 90.00
_cell_angle_gamma 90.00
loop_
_atom_site_label
_atom_site_fract_x
_atom_site_fract_y
_atom_site_fract_z
Ir1 0.000 0.000 0.000
Rh1 0.250 0.250 0.250
Au1 0.125 0.125 0.625
```

Summary:
Mass density in g cm⁻³: 16.55
Formation energy from the elements in meV per atom: 707



Here is ErNbZnTc after structural relaxation from the Alexandria database. Energies are from PBE.

Structure (CIF):
```
data_ErNbZnTc
_space_group_name_H-M_alt 'F -4 3 m'
_space_group_IT_number 216
_space_group_name_Hall 'F -4 2 3'
_cell_length_a 6.635
_cell_length_b 6.635
_cell_length_c 6.635
_cell_angle_alpha 90.00
_cell_angle_beta 90.00
_cell_angle_gamma 90.00
loop_
_atom_site_label
_atom_site_fract_x
_atom_site_fract_y
_atom_site_fract_z
Er1 0.000 0.000 0.000
Nb1 0.000 0.000 0.500
Zn1 0.250 0.250 0.250
Tc1 0.250 0.250 0.750
```

Summary:
Mass density in g cm⁻³: 9.63
Formation energy from the elements in meV per atom: -65



Here is InSn3P after structural relaxation from the Alexandria database. Energies are from PBE.

Structure (CIF):
```
data_InSn3P
_space_group_name_H-M_alt 'P m -3 m'
_space_group_IT_number 221
_space_group_name_Hall '-P 4 2 3'
_cell_length_a 5.528
_cell_length_b 5.528
_cell_length_c 5.528
_cell_angle_alpha 90.00
_cell_angle_beta 90.00
_cell_angle_gamma 90.00
loop_
_atom_site_label
_atom_site_fract_x
_atom_site_fract_y
_atom_site_fract_z
In1 0.000 0.000 0.000
Sn1 0.000 0.000 0.500
P1 0.500 0.500 0.500
```

Summary:
Mass density in g cm⁻³: 4.93
Formation energy from the elements in meV per atom: 934



Here is LiAc2BiPd6 after structural relaxation from the Alexandria database. Energies are from PBE.

Structure (CIF):
```
data_LiAc2BiPd6
_space_group_name_H-M_alt 'P -1'
_space_group_IT_number 2
_cell_length_a 6.289
_cell_length_b 6.336
_cell_length_c 7.463
_cell_angle_alpha 65.86
_cell_angle_beta 65.23
_cell_angle_gamma 60.32
loop_
_space_group_symop_operation_xyz
'x,y,z'
'-x,-y,-z'
loop_
_atom_site_label
_atom_site_fract_x
_atom_site_fract_y
_atom_site_fract_z
Li1 0.000 0.000 0.000
Ac1 0.246 0.247 0.261
Bi1 0.500 0.500 0.500
Pd1 0.238 0.682 0.842
Pd2 0.239 0.235 0.830
Pd3 0.307 0.765 0.168
```

Summary:
Mass density in g cm⁻³: 9.58
Formation energy from the elements in meV per atom: -495



Here is ThCd6Hg2 after structural relaxation from the Alexandria database. Energies are from PBE.

Structure (CIF):
```
data_ThCd6Hg2
_space_group_name_H-M_alt 'C 1 2/m 1'
_space_group_IT_number 12
_cell_length_a 15.702
_cell_length_b 8.962
_cell_length_c 3.186
_cell_angle_alpha 90.00
_cell_angle_beta 101.27
_cell_angle_gamma 90.00
loop_
_space_group_symop_operation_xyz
'x,y,z'
'-x,-y,-z'
'-x,y,-z'
'x,-y,z'
'x+1/2,y+1/2,z'
'-x+1/2,-y+1/2,-z'
'-x+1/2,y+1/2,-z'
'x+1/2,-y+1/2,z'
loop_
_atom_site_label
_atom_site_fract_x
_atom_site_fract_y
_atom_site_fract_z
Th1 0.000 0.000 0.000
Cd1 0.000 0.332 0.500
Cd2 0.175 0.172 0.670
Hg1 0.152 0.500 0.158
```

Summary:
Mass density in g cm⁻³: 9.88
Formation energy from the elements in meV per atom: -53



Please write out number 12 again, unchanged.
Here is ThCd6Hg2 after structural relaxation from the Alexandria database. Energies are from PBE.

Structure (CIF):
```
data_ThCd6Hg2
_space_group_name_H-M_alt 'C 1 2/m 1'
_space_group_IT_number 12
_cell_length_a 15.702
_cell_length_b 8.962
_cell_length_c 3.186
_cell_angle_alpha 90.00
_cell_angle_beta 101.27
_cell_angle_gamma 90.00
loop_
_space_group_symop_operation_xyz
'x,y,z'
'-x,-y,-z'
'-x,y,-z'
'x,-y,z'
'x+1/2,y+1/2,z'
'-x+1/2,-y+1/2,-z'
'-x+1/2,y+1/2,-z'
'x+1/2,-y+1/2,z'
loop_
_atom_site_label
_atom_site_fract_x
_atom_site_fract_y
_atom_site_fract_z
Th1 0.000 0.000 0.000
Cd1 0.000 0.332 0.500
Cd2 0.175 0.172 0.670
Hg1 0.152 0.500 0.158
```

Summary:
Mass density in g cm⁻³: 9.88
Formation energy from the elements in meV per atom: -53